Ca3AsI3 | PBE-GGA | relaxed

The calculated density comes out at 3.9 g/cm3. For the magnetic moment, the calculation gives 0.00 μB/f.u. For the formation energy (no corrections), the calculation gives -1517 meV per atom. The calculated total energy is -3.703 eV/atom.

a = 10.878 Å, b = 10.878 Å, c = 10.878 Å
α = 109.47°, β = 109.47°, γ = 109.47°
Fractional positions:
Ca1 0.468 0.484 0.234
Ca2 0.750 0.234 0.266
Ca3 0.750 0.016 0.484
Ca4 0.234 0.468 0.484
Ca5 0.266 0.750 0.234
Ca6 0.032 0.266 0.016
Ca7 0.016 0.032 0.266
Ca8 0.484 0.750 0.016
Ca9 0.484 0.234 0.468
Ca10 0.016 0.484 0.750
Ca11 0.266 0.016 0.032
Ca12 0.234 0.266 0.750
As1 0.250 0.250 0.250
As2 0.500 0.000 0.250
As3 0.000 0.250 0.500
As4 0.250 0.500 0.000
I1 0.250 0.752 0.748
I2 0.504 0.502 0.752
I3 0.996 0.748 0.998
I4 0.748 0.250 0.752
I5 0.998 0.996 0.748
I6 0.250 0.998 0.502
I7 0.752 0.504 0.502
I8 0.502 0.250 0.998
I9 0.752 0.748 0.250
I10 0.748 0.998 0.996
I11 0.998 0.502 0.250
I12 0.502 0.752 0.504



Ca8As5I | PBE-GGA | relaxed

The calculated density comes out at 3.6 g/cm3. For the magnetic moment, the calculation gives 0.00 μB/f.u. For the formation energy (no corrections), the calculation gives -1226 meV per atom. The calculated total energy is -4.141 eV/atom.

a = 7.873 Å, b = 7.873 Å, c = 7.873 Å
α = 109.16°, β = 110.10°, γ = 109.16°
Fractional positions:
Ca1 0.114 0.761 0.029
Ca2 0.971 0.086 0.733
Ca3 0.736 0.239 0.360
Ca4 0.640 0.376 0.879
Ca5 0.503 0.624 0.264
Ca6 0.647 0.914 0.886
Ca7 0.267 0.239 0.353
Ca8 0.121 0.761 0.497
As1 0.016 0.382 0.129
As2 0.871 0.887 0.254
As3 0.746 0.618 0.633
As4 0.500 0.000 0.500
As5 0.367 0.113 0.984
I1 0.250 0.500 0.750



Ca3AsI | PBE-GGA | relaxed

The calculated density comes out at 2.9 g/cm3. For the magnetic moment, the calculation gives 0.00 μB/f.u. For the formation energy (no corrections), the calculation gives -750 meV per atom. The energy above the most stable polymorph in this dataset comes out at 0.0 meV/atom. The calculated total energy is -3.191 eV/atom.

a = 5.707 Å, b = 5.707 Å, c = 5.707 Å
α = 90.00°, β = 90.00°, γ = 90.00°
Fractional positions:
I1 0.500 0.500 0.500
As1 0.000 0.000 0.000
Ca1 0.000 0.500 0.000
Ca2 0.000 0.000 0.500
Ca3 0.500 0.000 0.000



Ca4AsI4 | PBE-GGA | relaxed

The calculated density comes out at 3.9 g/cm3. For the magnetic moment, the calculation gives 0.00 μB/f.u. For the formation energy (no corrections), the calculation gives -1401 meV per atom. The calculated total energy is -3.496 eV/atom.

a = 4.432 Å, b = 7.785 Å, c = 9.907 Å
α = 75.58°, β = 77.08°, γ = 73.46°
Fractional positions:
Ca1 0.317 0.090 0.275
Ca2 0.683 0.910 0.725
Ca3 0.918 0.250 0.915
Ca4 0.082 0.750 0.085
As1 0.500 0.000 0.000
I1 0.692 0.413 0.202
I2 0.894 0.802 0.410
I3 0.308 0.587 0.798
I4 0.106 0.198 0.590